[1]
Below is crystalline Pr2DyAl at its relaxed geometry, with properties calculated at the PBE level.

Calculated values
As for the distance to the lowest polymorph of the same formula: 0.17 eV per formula unit. Its density of states at the Fermi level is 4.034 states/eV per cell. Its calculated total energy is -4.60 eV/atom. The formation energy is -12 kJ/mol of atoms. The space group is P4/mmm (123).

Unit cell a=3.604 b=3.604 c=9.336 alpha=90.00 beta=90.00 gamma=90.00
Sites, in units of the cell vectors:
Pr1 0.000 0.000 0.784
Pr2 0.000 0.000 0.216
Al1 0.500 0.500 0.000
Dy1 0.500 0.500 0.500

---

[2]
Below is crystalline KTcHg at its relaxed geometry, with properties calculated at the PBE level.

Calculated values
As for the distance to the lowest polymorph of the same formula: 0.37 eV per formula unit. Its density of states at the Fermi level is 2.625 states/eV per cell. Its calculated total energy is -2.97 eV/atom. The formation energy is 92 kJ/mol of atoms. The space group is P3m1 (156).

Unit cell a=2.971 b=2.971 c=8.450 alpha=90.00 beta=90.00 gamma=120.00
Sites, in units of the cell vectors:
Hg1 0.000 0.000 0.975
K1 0.667 0.333 0.341
Tc1 0.333 0.667 0.685